Record 1
# Th3ZnSn2, relaxed, DFT PBE-GGA
data_Th3ZnSn2
_chemical_formula_sum 'Th12 Zn4 Sn8'
_cell_length_a 12.767
_cell_length_b 4.427
_cell_length_c 12.101
_cell_angle_alpha 90.00
_cell_angle_beta 90.00
_cell_angle_gamma 90.00
_symmetry_space_group_name_H-M 'P n m a'
_symmetry_Int_Tables_number 62
_symmetry_space_group_name_Hall '-P 2ac 2n'
loop_
_atom_site_label
_atom_site_type_symbol
_atom_site_fract_x
_atom_site_fract_y
_atom_site_fract_z
Th1 Th 0.048 0.250 0.117
Th2 Th 0.120 0.750 0.562
Th3 Th 0.219 0.250 0.785
Zn1 Zn 0.128 0.250 0.370
Sn1 Sn 0.017 0.750 0.307
Sn2 Sn 0.193 0.750 0.999
# DOS(E_F): 1.048 states/eV per atom
# E_form: -0.4293 eV per atom

***

Record 2
# TaRe2Au, relaxed, DFT PBE-GGA
data_TaRe2Au
_chemical_formula_sum 'Ta2 Re4 Au2'
_cell_length_a 4.004
_cell_length_b 4.004
_cell_length_c 8.100
_cell_angle_alpha 90.00
_cell_angle_beta 90.00
_cell_angle_gamma 90.00
_symmetry_space_group_name_H-M 'I 4/m m m'
_symmetry_Int_Tables_number 139
_symmetry_space_group_name_Hall '-I 4 2'
loop_
_atom_site_label
_atom_site_type_symbol
_atom_site_fract_x
_atom_site_fract_y
_atom_site_fract_z
Ta1 Ta 0.000 0.000 0.000
Re1 Re 0.000 0.500 0.250
Au1 Au 0.000 0.000 0.500
# DOS(E_F): 1.189 states/eV per atom
# E_form: 0.2409 eV per atom
# energy relative to the lowest polymorph listed for this composition: 0.171 eV per atom

***

Record 3
# SmY4Er2Tm2, relaxed, DFT PBE-GGA
data_SmY4Er2Tm2
_chemical_formula_sum 'Sm2 Y8 Er4 Tm4'
_cell_length_a 18.575
_cell_length_b 3.577
_cell_length_c 9.498
_cell_angle_alpha 90.00
_cell_angle_beta 115.75
_cell_angle_gamma 90.00
_symmetry_space_group_name_H-M 'C 1 2/m 1'
_symmetry_Int_Tables_number 12
_symmetry_space_group_name_Hall '-C 2y'
loop_
_atom_site_label
_atom_site_type_symbol
_atom_site_fract_x
_atom_site_fract_y
_atom_site_fract_z
Sm1 Sm 0.000 0.000 0.000
Y1 Y 0.019 0.500 0.336
Y2 Y 0.186 0.000 0.334
Er1 Er 0.149 0.000 0.668
Tm1 Tm 0.168 0.500 0.999
# DOS(E_F): 1.416 states/eV per atom
# E_form: 0.0025 eV per atom

***

Record 4
# GaHg2Cl, relaxed, DFT PBE-GGA
data_GaHg2Cl
_chemical_formula_sum 'Ga3 Hg6 Cl3'
_cell_length_a 3.3858
_cell_length_b 3.3858
_cell_length_c 30.0492
_cell_angle_alpha 90.00
_cell_angle_beta 90.00
_cell_angle_gamma 120.00
_symmetry_space_group_name_H-M 'R -3 m'
_symmetry_Int_Tables_number 166
_symmetry_space_group_name_Hall '-R 3 2"'
loop_
_atom_site_label
_atom_site_type_symbol
_atom_site_fract_x
_atom_site_fract_y
_atom_site_fract_z
Ga1 Ga 0.0000 0.0000 0.0000
Hg1 Hg 0.0000 0.0000 0.0912
Cl1 Cl 0.0000 0.0000 0.5000
# formation energy from raw total energies: -33 meV per atom
# DOS(E_F): 0.562 states/eV per atom
# energy relative to the lowest polymorph listed for this composition: 0.298 eV per atom

***

Record 5
# LaTeOs2, relaxed, DFT PBE-GGA
data_LaTeOs2
_chemical_formula_sum 'La1 Te1 Os2'
_cell_length_a 3.244
_cell_length_b 3.244
_cell_length_c 7.649
_cell_angle_alpha 90.00
_cell_angle_beta 90.00
_cell_angle_gamma 90.00
_symmetry_space_group_name_H-M 'P 4/m m m'
_symmetry_Int_Tables_number 123
_symmetry_space_group_name_Hall '-P 4 2'
loop_
_atom_site_label
_atom_site_type_symbol
_atom_site_fract_x
_atom_site_fract_y
_atom_site_fract_z
La1 La 0.000 0.000 0.000
Te1 Te 0.000 0.000 0.500
Os1 Os 0.500 0.500 0.296
# formation energy from raw total energies: 540 meV per atom
# DOS(E_F): 1.003 states/eV per atom

***

Record 6
# K3Pa3ZnSe8, relaxed, DFT PBE-GGA
data_K3Pa3ZnSe8
_chemical_formula_sum 'K6 Pa6 Zn2 Se16'
_cell_length_a 14.315
_cell_length_b 8.272
_cell_length_c 9.215
_cell_angle_alpha 90.00
_cell_angle_beta 121.16
_cell_angle_gamma 90.00
_symmetry_space_group_name_H-M 'C 1 2/m 1'
_symmetry_Int_Tables_number 12
_symmetry_space_group_name_Hall '-C 2y'
loop_
_atom_site_label
_atom_site_type_symbol
_atom_site_fract_x
_atom_site_fract_y
_atom_site_fract_z
K1 K 0.000 0.000 0.000
K2 K 0.250 0.250 0.000
Pa1 Pa 0.000 0.500 0.500
Pa2 Pa 0.250 0.250 0.500
Zn1 Zn 0.000 0.000 0.500
Se1 Se 0.016 0.244 0.304
Se2 Se 0.228 0.000 0.696
Se3 Se 0.237 0.500 0.712
# formation energy from raw total energies: -1216 meV per atom
# DOS(E_F): 1.307 states/eV per atom

***

Record 7
# Hg2P2S, relaxed, DFT PBE-GGA
data_Hg2P2S
_chemical_formula_sum 'Hg4 P4 S2'
_cell_length_a 7.235
_cell_length_b 7.235
_cell_length_c 5.108
_cell_angle_alpha 90.00
_cell_angle_beta 90.00
_cell_angle_gamma 90.00
_symmetry_space_group_name_H-M 'P 4/m b m'
_symmetry_Int_Tables_number 127
_symmetry_space_group_name_Hall '-P 4 2ab'
loop_
_atom_site_label
_atom_site_type_symbol
_atom_site_fract_x
_atom_site_fract_y
_atom_site_fract_z
Hg1 Hg 0.167 0.333 0.000
P1 P 0.099 0.401 0.500
S1 S 0.000 0.000 0.000
# formation energy from raw total energies: 362 meV per atom
# DOS(E_F): 0.261 states/eV per atom
# energy relative to the lowest polymorph listed for this composition: 0.000 eV per atom

***

Record 8
# HfMnTlSe4, relaxed, DFT PBE-GGA
data_HfMnTlSe4
_chemical_formula_sum 'Hf2 Mn2 Tl2 Se8'
_cell_length_a 6.514
_cell_length_b 6.496
_cell_length_c 9.259
_cell_angle_alpha 90.00
_cell_angle_beta 109.56
_cell_angle_gamma 90.00
_symmetry_space_group_name_H-M 'P 1 21/m 1'
_symmetry_Int_Tables_number 11
_symmetry_space_group_name_Hall '-P 2yb'
loop_
_atom_site_label
_atom_site_type_symbol
_atom_site_fract_x
_atom_site_fract_y
_atom_site_fract_z
Hf1 Hf 0.179 0.250 0.445
Mn1 Mn 0.399 0.750 0.663
Tl1 Tl 0.279 0.750 0.044
Se1 Se 0.156 0.011 0.692
Se2 Se 0.232 0.250 0.167
Se3 Se 0.386 0.750 0.405
# formation energy from raw total energies: -695 meV per atom
# DOS(E_F): 0.267 states/eV per atom